*w*
Below is crystalline AcPr3Dy3 at its relaxed geometry, with properties calculated at the PBE level.

DOS at the Fermi energy	1.38	states/eV/atom
total magnetic moment	0.000	μB per formula unit

a = 13.2058 Å, b = 6.9337 Å, c = 13.2057 Å
α = 100.09°, β = 117.00°, γ = 100.08°
With the nearest neighbours (Å) after each atom.
Atoms (fractional coordinates):
Ac1 0.0002 0.5854 0.0003  3 Pr 3.57, 3 Dy 3.72-3.73
Ac2 0.1840 0.1704 0.1839  3 Pr 3.61-3.71, 4 Dy 3.78-3.86, 1 Ac 4.00
Ac3 0.8162 0.9861 0.0000  3 Pr 3.61-3.71, 4 Dy 3.78-3.86, 1 Ac 4.00
Ac4 0.0001 0.9860 0.8163  3 Pr 3.61-3.71, 4 Dy 3.77-3.86, 1 Ac 4.00
Pr1 0.2735 0.7231 0.2734  5 Dy 3.40-3.67, 3 Pr 3.56-3.78, 3 Ac 3.57-3.70
Pr2 0.7266 0.4493 0.9999  5 Dy 3.41-3.67, 3 Pr 3.56-3.78, 3 Ac 3.57-3.70
Pr3 0.5264 0.5544 0.2627  6 Dy 3.43-3.67, 3 Pr 3.58-3.78
Pr4 0.4735 0.0279 0.7364  6 Dy 3.43-3.67, 3 Pr 3.58-3.78
Pr5 0.4607 0.2226 0.4606  7 Dy 3.52-3.81, 1 Pr 3.56, 1 Ac 3.71
Pr6 0.5393 0.7619 0.9998  7 Dy 3.52-3.81, 1 Pr 3.56, 1 Ac 3.71
Pr7 0.9999 0.7618 0.5394  7 Dy 3.52-3.80, 1 Pr 3.56, 1 Ac 3.71
Pr8 0.2627 0.5545 0.5264  6 Dy 3.43-3.67, 3 Pr 3.58-3.78
Pr9 0.7372 0.2918 0.2636  6 Dy 3.43-3.67, 3 Pr 3.58-3.78
Pr10 0.2635 0.2917 0.7372  6 Dy 3.43-3.67, 3 Pr 3.58-3.78
Pr11 0.7364 0.0280 0.4736  6 Dy 3.43-3.67, 3 Pr 3.58-3.78
Pr12 0.9999 0.4491 0.7267  5 Dy 3.41-3.67, 3 Pr 3.56-3.78, 3 Ac 3.57-3.70
Dy1 0.5273 0.7718 0.5273  3 Dy 3.32-3.39, 7 Pr 3.40-3.61
Dy2 0.4726 0.2445 0.9999  3 Dy 3.32-3.39, 7 Pr 3.41-3.61
Dy3 0.0000 0.4747 0.2662  3 Dy 3.39-3.62, 4 Pr 3.46-3.67, 1 Ac 3.72
Dy4 0.1806 0.9959 0.4379  2 Dy 3.32-3.62, 6 Pr 3.40-3.67
Dy5 0.8193 0.8152 0.2573  2 Dy 3.32-3.62, 6 Pr 3.41-3.67
Dy6 0.7341 0.2086 0.7340  3 Dy 3.39-3.62, 4 Pr 3.46-3.67, 1 Ac 3.73
Dy7 0.2661 0.4746 0.9999  3 Dy 3.39-3.62, 4 Pr 3.46-3.67, 1 Ac 3.73
Dy8 0.4380 0.9957 0.1805  2 Dy 3.32-3.62, 6 Pr 3.41-3.67
Dy9 0.5620 0.5577 0.7425  2 Dy 3.32-3.62, 6 Pr 3.41-3.67
Dy10 0.9999 0.2444 0.4726  3 Dy 3.32-3.39, 7 Pr 3.41-3.61
Dy11 0.2573 0.8151 0.8194  2 Dy 3.32-3.62, 6 Pr 3.41-3.67
Dy12 0.7426 0.5578 0.5621  2 Dy 3.32-3.62, 6 Pr 3.41-3.67


*x*
Below is crystalline AcPr3Dy3 at its relaxed geometry, with properties calculated at the PBE level.

DOS at the Fermi energy	1.69	states/eV/atom
total magnetic moment	0.000	μB per formula unit

a = 5.9242 Å, b = 9.8554 Å, c = 9.8554 Å
α = 120.00°, β = 90.00°, γ = 90.00°
With the nearest neighbours (Å) after each atom.
Atoms (fractional coordinates):
Ac1 0.2500 0.6667 0.3333  9 Pr 3.68-3.73, 3 Dy 3.81
Ac2 0.7500 0.3333 0.6667  9 Pr 3.68-3.73, 3 Dy 3.81
Pr1 0.7500 0.6252 0.5312  5 Dy 3.64-3.84, 3 Ac 3.68-3.73, 4 Pr 3.70-3.78
Pr2 0.7500 0.4688 0.0940  5 Dy 3.64-3.84, 3 Ac 3.68-3.73, 4 Pr 3.70-3.78
Pr3 0.7500 0.9060 0.3748  5 Dy 3.64-3.84, 3 Ac 3.68-3.73, 4 Pr 3.70-3.78
Pr4 0.2500 0.3748 0.4688  5 Dy 3.64-3.84, 3 Ac 3.68-3.73, 4 Pr 3.70-3.78
Pr5 0.2500 0.5312 0.9060  5 Dy 3.64-3.84, 3 Ac 3.68-3.73, 4 Pr 3.70-3.78
Pr6 0.2500 0.0940 0.6252  5 Dy 3.64-3.84, 3 Ac 3.68-3.73, 4 Pr 3.70-3.78
Dy1 0.2500 0.8144 0.7716  6 Dy 3.59-3.62, 5 Pr 3.64-3.84, 1 Ac 3.81
Dy2 0.2500 0.2284 0.0427  6 Dy 3.59-3.62, 5 Pr 3.64-3.84, 1 Ac 3.81
Dy3 0.2500 0.9573 0.1856  6 Dy 3.59-3.62, 5 Pr 3.64-3.84, 1 Ac 3.81
Dy4 0.7500 0.1856 0.2284  6 Dy 3.59-3.62, 5 Pr 3.64-3.84, 1 Ac 3.81
Dy5 0.7500 0.7716 0.9573  6 Dy 3.59-3.62, 5 Pr 3.64-3.84, 1 Ac 3.81
Dy6 0.7500 0.0427 0.8144  6 Dy 3.59-3.62, 5 Pr 3.64-3.84, 1 Ac 3.81


Short version: *w* is the least stable of them.


*w*
Below is crystalline AcPr2Dy at its relaxed geometry, with properties calculated at the PBE level.

DOS at the Fermi energy	1.40	states/eV/atom
total magnetic moment	0.000	μB per formula unit

a = 3.7548 Å, b = 3.7548 Å, c = 12.3656 Å
α = 81.27°, β = 81.27°, γ = 60.00°
With the nearest neighbours (Å) after each atom.
Atoms (fractional coordinates):
Ac1 0.4998 0.4998 0.5006  6 Ac 3.75, 6 Pr 3.85-3.87
Pr1 0.0794 0.0794 0.7618  3 Dy 3.62, 6 Pr 3.75, 3 Ac 3.85
Pr2 0.2541 0.2541 0.2376  3 Dy 3.61, 6 Pr 3.75, 3 Ac 3.87
Dy1 0.6666 0.6666 0.0001  6 Pr 3.61-3.62, 6 Dy 3.75


*x*
Below is crystalline AcPr2Dy at its relaxed geometry, with properties calculated at the PBE level.

DOS at the Fermi energy	2.32	states/eV/atom
total magnetic moment	0.001	μB per formula unit

a = 4.2778 Å, b = 4.2778 Å, c = 8.1448 Å
α = 90.00°, β = 90.00°, γ = 90.00°
With the nearest neighbours (Å) after each atom.
Atoms (fractional coordinates):
Pr1 0.0000 0.0000 0.7817  4 Dy 3.51, 1 Pr 3.56, 4 Ac 3.80
Pr2 0.0000 0.0000 0.2183  4 Dy 3.51, 1 Pr 3.56, 4 Ac 3.80
Ac1 0.5000 0.5000 0.5000  8 Pr 3.80, 2 Dy 4.07
Dy1 0.5000 0.5000 0.0000  8 Pr 3.51


Short version: *x* is the least stable of them.


*w*
Below is crystalline Ac4PrDy at its relaxed geometry, with properties calculated at the PBE level.

DOS at the Fermi energy	1.54	states/eV/atom
total magnetic moment	0.000	μB per formula unit

a = 7.1635 Å, b = 7.1635 Å, c = 7.1635 Å
α = 60.00°, β = 60.00°, γ = 60.00°
With the nearest neighbours (Å) after each atom.
Atoms (fractional coordinates):
Pr1 0.2500 0.2500 0.2500  12 Ac 4.20, 4 Dy 4.39
Ac1 0.6256 0.6256 0.1231  6 Ac 3.56-3.60
Ac2 0.6256 0.1231 0.6256  6 Ac 3.56-3.60
Ac3 0.6256 0.6256 0.6256  6 Ac 3.56-3.60
Ac4 0.1231 0.6256 0.6256  6 Ac 3.56-3.60
Dy1 0.0000 0.0000 0.0000  12 Ac 4.20, 4 Pr 4.39


*x*
Below is crystalline Ac4PrDy at its relaxed geometry, with properties calculated at the PBE level.

DOS at the Fermi energy	1.69	states/eV/atom
total magnetic moment	0.000	μB per formula unit

a = 9.2529 Å, b = 9.2529 Å, c = 9.2529 Å
α = 37.70°, β = 37.70°, γ = 37.70°
With the nearest neighbours (Å) after each atom.
Atoms (fractional coordinates):
Ac1 0.6316 0.6316 0.6316  1 Pr 3.39, 3 Dy 3.57, 1 Ac 3.79
Ac2 0.3684 0.3684 0.3684  1 Pr 3.39, 3 Dy 3.57, 1 Ac 3.79
Ac3 0.2213 0.2213 0.2213  3 Pr 3.73, 4 Ac 3.79-3.98
Ac4 0.7787 0.7787 0.7787  3 Pr 3.73, 4 Ac 3.79-3.98
Pr1 0.5000 0.5000 0.5000  8 Ac 3.39-3.73
Dy1 0.0000 0.0000 0.0000  6 Ac 3.57


Short version: *x* is the least stable of them.


*w*
Below is crystalline AcPrDy4 at its relaxed geometry, with properties calculated at the PBE level.

DOS at the Fermi energy	1.64	states/eV/atom
total magnetic moment	0.000	μB per formula unit

a = 9.1264 Å, b = 6.7546 Å, c = 8.6265 Å
α = 109.74°, β = 119.29°, γ = 95.84°
With the nearest neighbours (Å) after each atom.
Atoms (fractional coordinates):
Ac1 0.4286 0.6786 0.3572  3 Pr 3.53-3.74, 8 Dy 3.66-3.95, 2 Ac 3.89
Ac2 0.5714 0.3214 0.6428  3 Pr 3.53-3.74, 8 Dy 3.66-3.95, 2 Ac 3.89
Pr1 0.6911 0.9411 0.8823  6 Dy 3.29-3.61, 1 Ac 3.53
Pr2 0.3089 0.0589 0.1177  6 Dy 3.29-3.61, 1 Ac 3.53
Dy1 0.2334 0.9915 0.6500  7 Dy 3.48-3.79, 2 Pr 3.60-3.76, 1 Ac 3.66
Dy2 0.9798 0.7322 0.1311  2 Pr 3.29-3.61, 5 Dy 3.37-3.68
Dy3 0.0834 0.3415 0.3500  7 Dy 3.48-3.79, 2 Pr 3.60-3.76, 1 Ac 3.66
Dy4 0.3487 0.6011 0.8689  2 Pr 3.29-3.61, 5 Dy 3.37-3.68
Dy5 0.7666 0.0085 0.3500  7 Dy 3.48-3.79, 2 Pr 3.60-3.76, 1 Ac 3.66
Dy6 0.9166 0.6585 0.6500  7 Dy 3.48-3.79, 2 Pr 3.60-3.76, 1 Ac 3.66
Dy7 0.0202 0.2678 0.8689  2 Pr 3.29-3.61, 5 Dy 3.37-3.68
Dy8 0.6513 0.3989 0.1311  2 Pr 3.29-3.61, 5 Dy 3.37-3.68


*x*
Below is crystalline AcPrDy4 at its relaxed geometry, with properties calculated at the PBE level.

DOS at the Fermi energy	1.57	states/eV/atom
total magnetic moment	0.000	μB per formula unit

a = 10.1896 Å, b = 9.0482 Å, c = 7.5679 Å
α = 126.71°, β = 120.91°, γ = 90.00°
With the nearest neighbours (Å) after each atom.
Atoms (fractional coordinates):
Ac1 0.6952 0.5105 0.0211  7 Dy 3.58-3.84, 2 Pr 3.61-3.69, 1 Ac 3.82
Ac2 0.3048 0.4895 0.9789  7 Dy 3.58-3.84, 2 Pr 3.61-3.69, 1 Ac 3.82
Pr1 0.2530 0.1662 0.3324  7 Dy 3.33-3.53, 2 Ac 3.61-3.69
Pr2 0.7470 0.8338 0.6676  7 Dy 3.33-3.53, 2 Ac 3.61-3.69
Dy1 0.8703 0.1625 0.3250  1 Pr 3.33, 2 Dy 3.53, 1 Ac 3.58
Dy2 0.5603 0.3367 0.3250  4 Dy 3.15-3.53, 1 Pr 3.40
Dy3 0.0000 0.3097 0.0000  5 Dy 3.44-3.81, 2 Pr 3.45, 2 Ac 3.62
Dy4 0.4397 0.0117 0.6751  4 Dy 3.15-3.53, 1 Pr 3.40
Dy5 0.1297 0.8375 0.6750  1 Pr 3.33, 2 Dy 3.53, 1 Ac 3.58
Dy6 0.4397 0.6633 0.6750  4 Dy 3.15-3.53, 1 Pr 3.40
Dy7 0.0000 0.6903 0.0000  5 Dy 3.44-3.81, 2 Pr 3.45, 2 Ac 3.62
Dy8 0.5603 0.9883 0.3249  4 Dy 3.15-3.53, 1 Pr 3.40


Short version: *x* is the least stable of them.


*w*
Below is crystalline Ac2Pr2Dy at its relaxed geometry, with properties calculated at the PBE level.

DOS at the Fermi energy	1.74	states/eV/atom
total magnetic moment	0.000	μB per formula unit

a = 4.9595 Å, b = 4.9595 Å, c = 9.1244 Å
α = 105.77°, β = 105.77°, γ = 90.00°
With the nearest neighbours (Å) after each atom.
Atoms (fractional coordinates):
Ac1 0.7500 0.2500 0.5000  4 Ac 3.51, 4 Pr 3.65
Ac2 0.2500 0.7500 0.5000  4 Ac 3.51, 4 Pr 3.65
Pr1 0.4091 0.4091 0.8183  1 Pr 3.06
Pr2 0.5909 0.5909 0.1817  1 Pr 3.06
Dy1 0.0000 0.0000 0.0000  8 Pr 3.83


*x*
Below is crystalline Ac2Pr2Dy at its relaxed geometry, with properties calculated at the PBE level.

DOS at the Fermi energy	1.26	states/eV/atom
total magnetic moment	0.000	μB per formula unit

a = 6.6241 Å, b = 6.6241 Å, c = 10.1064 Å
α = 111.72°, β = 96.69°, γ = 104.93°
With the nearest neighbours (Å) after each atom.
Atoms (fractional coordinates):
Ac1 0.4671 0.3648 0.1471  5 Pr 3.52-3.88, 3 Dy 3.69-3.78, 1 Ac 3.86
Ac2 0.2177 0.8200 0.3529  5 Pr 3.52-3.88, 3 Dy 3.69-3.78, 1 Ac 3.86
Ac3 0.5329 0.6352 0.8529  5 Pr 3.52-3.88, 3 Dy 3.69-3.78, 1 Ac 3.86
Ac4 0.7823 0.1800 0.6471  5 Pr 3.52-3.88, 3 Dy 3.69-3.78, 1 Ac 3.86
Pr1 0.9138 0.2421 0.0159  2 Pr 3.46-3.59, 1 Dy 3.50, 4 Ac 3.52-3.76
Pr2 0.2262 0.3979 0.4841  2 Pr 3.46-3.59, 1 Dy 3.50, 4 Ac 3.52-3.76
Pr3 0.0862 0.7579 0.9841  2 Pr 3.46-3.59, 1 Dy 3.50, 4 Ac 3.52-3.76
Pr4 0.7738 0.6021 0.5159  2 Pr 3.46-3.59, 1 Dy 3.50, 4 Ac 3.52-3.76
Dy1 0.7406 0.9906 0.2500  4 Pr 3.50-3.88, 6 Ac 3.69-3.78
Dy2 0.2594 0.0094 0.7500  4 Pr 3.50-3.88, 6 Ac 3.69-3.78


Short version: *w* is the least stable of them.